No. 1
V2P2Cl | PBE | optimized geometry

Structure (POSCAR):
```
V2P2Cl
1.0
-0.5420 2.3170 6.6947
1.6507 -6.4882 2.3792
2.8408 0.7162 -0.0179
V P Cl
4 4 2
direct
0.3519 0.1481 0.5000
0.8519 0.3519 0.5000
0.6481 0.8519 0.5000
0.1481 0.6481 0.5000
0.1305 0.3695 0.0000
0.6305 0.1305 0.0000
0.3695 0.8695 0.0000
0.8695 0.6305 0.0000
0.0000 0.0000 0.0000
0.5000 0.5000 0.0000
```

Summary:
E_tot in eV per formula unit: -31.43


No. 2
VPCl2 | PBE | optimized geometry

Structure (POSCAR):
```
VPCl2
1.0
0.0000 3.2282 3.2282
3.2282 0.0000 3.2282
3.2282 3.2282 0.0000
P V Cl
1 1 2
direct
0.0000 0.0000 0.0000
0.5000 0.5000 0.5000
0.2500 0.2500 0.2500
0.7500 0.7500 0.7500
```

Summary:
E_tot in eV per formula unit: -16.26


Number 1: M_tot 0.00 μB per atom, formation energy without anion corrections -0.106 eV per atom, polymorph energy (0 for the lowest one) 191 meV per atom. Number 2: M_tot 0.47 μB per atom, formation energy without anion corrections 0.490 eV per atom, polymorph energy (0 for the lowest one) 634 meV per atom.